(1)
# LuSnHg (PBE-GGA, relaxed)
data_LuSnHg
_chemical_formula_sum 'Lu2 Sn2 Hg2'
_space_group_name_H-M_alt 'I 4 m m'
_space_group_IT_number 107
_space_group_name_Hall 'I 4 -2'
_cell_length_a 3.344
_cell_length_b 3.344
_cell_length_c 15.974
_cell_angle_alpha 90.00
_cell_angle_beta 90.00
_cell_angle_gamma 90.00
loop_
_atom_site_label
_atom_site_fract_x
_atom_site_fract_y
_atom_site_fract_z
_atom_site_occupancy
Lu1 0.000 0.000 0.000 1
Sn1 0.000 0.000 0.367 1
Hg1 0.000 0.000 0.184 1
# Energy in eV per atom: -3.0055
# Calculated volume in Å³ per atom: 29.78
# Energy relative to the lowest polymorph listed for this composition in eV per formula unit: 0.89


(2)
# Sm3Er4Pd4 (PBE-GGA, relaxed)
data_Sm3Er4Pd4
_chemical_formula_sum 'Sm6 Er8 Pd8'
_space_group_name_H-M_alt 'I m m m'
_space_group_IT_number 71
_space_group_name_Hall '-I 2 2'
_cell_length_a 4.715
_cell_length_b 7.604
_cell_length_c 15.456
_cell_angle_alpha 90.00
_cell_angle_beta 90.00
_cell_angle_gamma 90.00
loop_
_atom_site_label
_atom_site_fract_x
_atom_site_fract_y
_atom_site_fract_z
_atom_site_occupancy
Sm1 0.000 0.000 0.000 1
Sm2 0.000 0.500 0.103 1
Er1 0.000 0.285 0.327 1
Pd1 0.000 0.000 0.205 1
Pd2 0.000 0.186 0.500 1
# Energy in eV per atom: -5.4204
# Calculated volume in Å³ per atom: 25.19


(3)
# Cs2BaAg2 (PBE-GGA, relaxed)
data_Cs2BaAg2
_chemical_formula_sum 'Cs4 Ba2 Ag4'
_space_group_name_H-M_alt 'P 4/m b m'
_space_group_IT_number 127
_space_group_name_Hall '-P 4 2ab'
_cell_length_a 8.985
_cell_length_b 8.985
_cell_length_c 5.950
_cell_angle_alpha 90.00
_cell_angle_beta 90.00
_cell_angle_gamma 90.00
loop_
_atom_site_label
_atom_site_fract_x
_atom_site_fract_y
_atom_site_fract_z
_atom_site_occupancy
Cs1 0.164 0.336 0.000 1
Ba1 0.000 0.000 0.500 1
Ag1 0.115 0.615 0.500 1
# Energy in eV per atom: -1.8267
# Calculated volume in Å³ per atom: 48.03
# Energy relative to the lowest polymorph listed for this composition in eV per formula unit: 0.00


(4)
# TcHPb2F (PBE-GGA, relaxed)
data_TcHPb2F
_chemical_formula_sum 'Tc1 H1 Pb2 F1'
_space_group_name_H-M_alt 'P 4/m m m'
_space_group_IT_number 123
_space_group_name_Hall '-P 4 2'
_cell_length_a 5.278
_cell_length_b 5.278
_cell_length_c 4.000
_cell_angle_alpha 90.00
_cell_angle_beta 90.00
_cell_angle_gamma 90.00
loop_
_atom_site_label
_atom_site_fract_x
_atom_site_fract_y
_atom_site_fract_z
_atom_site_occupancy
Tc1 0.000 0.000 0.000 1
H1 0.500 0.500 0.000 1
Pb1 0.000 0.500 0.500 1
F1 0.000 0.000 0.500 1
# Energy in eV per atom: -3.9821
# Calculated volume in Å³ per atom: 22.29


Please write out number 2 again, unchanged.
# Sm3Er4Pd4 (PBE-GGA, relaxed)
data_Sm3Er4Pd4
_chemical_formula_sum 'Sm6 Er8 Pd8'
_space_group_name_H-M_alt 'I m m m'
_space_group_IT_number 71
_space_group_name_Hall '-I 2 2'
_cell_length_a 4.715
_cell_length_b 7.604
_cell_length_c 15.456
_cell_angle_alpha 90.00
_cell_angle_beta 90.00
_cell_angle_gamma 90.00
loop_
_atom_site_label
_atom_site_fract_x
_atom_site_fract_y
_atom_site_fract_z
_atom_site_occupancy
Sm1 0.000 0.000 0.000 1
Sm2 0.000 0.500 0.103 1
Er1 0.000 0.285 0.327 1
Pd1 0.000 0.000 0.205 1
Pd2 0.000 0.186 0.500 1
# Energy in eV per atom: -5.4204
# Calculated volume in Å³ per atom: 25.19


- Which value of calculated volume does entry 1 give?
  29.78 Å³ per atom